Record 1
DFT (PBE) results for a geometry-optimized BaBNO2 structure.

POSCAR file:
```
BaBNO2
1.0
4.4755 0.0000 0.0000
0.0000 4.4755 0.0000
0.0000 0.0000 2.9884
Ba B N O
1 1 1 2
direct
0.0000 0.0000 0.0000 Ba
0.5000 0.5000 0.5000 B
0.5000 0.5000 0.0000 N
0.0000 0.5000 0.5000 O
0.5000 0.0000 0.5000 O
```

Calculated values
The total magnetization is 1.926 μB/f.u. Its uncorrected formation energy is -0.54 eV/atom. Its symmetry is No. 123. Its calculated volume is 59.9 Å³ per cell.

=====

Record 2
DFT (PBE) results for a geometry-optimized YSi2AgO6 structure.

POSCAR file:
```
YSi2AgO6
1.0
3.8579 -5.8826 0.0000
3.8579 5.8826 0.0000
0.0000 0.0000 7.0395
Y Si Ag O
2 4 2 12
direct
0.1557 0.8443 0.7500 Y
0.8443 0.1557 0.2500 Y
0.0422 0.2789 0.7500 Si
0.2789 0.0422 0.2500 Si
0.7211 0.9578 0.7500 Si
0.9578 0.7211 0.2500 Si
0.4739 0.5261 0.2500 Ag
0.5261 0.4739 0.7500 Ag
0.0855 0.5166 0.7500 O
0.1332 0.8668 0.0816 O
0.1332 0.8668 0.4184 O
0.2070 0.2351 0.2500 O
0.2351 0.2070 0.7500 O
0.4834 0.9145 0.7500 O
0.5166 0.0855 0.2500 O
0.7649 0.7930 0.2500 O
0.7930 0.7649 0.7500 O
0.8668 0.1332 0.5816 O
0.8668 0.1332 0.9184 O
0.9145 0.4834 0.2500 O
```

Calculated values
The total magnetization is 0.000 μB/f.u. Its uncorrected formation energy is -2.51 eV/atom. Its symmetry is No. 63. Its calculated volume is 319.5 Å³ per cell.

=====

Record 3
DFT (PBE) results for a geometry-optimized CeCo2C structure.

POSCAR file:
```
CeCo2C
1.0
2.9668 0.0000 0.0000
-1.4834 2.5693 0.0000
0.0000 0.0000 20.8243
Ce Co C
3 6 3
direct
0.0000 0.0000 0.0000 Ce
0.3333 0.6667 0.6667 Ce
0.6667 0.3333 0.3333 Ce
0.0000 0.0000 0.2095 Co
0.0000 0.0000 0.7905 Co
0.3333 0.6667 0.4572 Co
0.3333 0.6667 0.8762 Co
0.6667 0.3333 0.1238 Co
0.6667 0.3333 0.5428 Co
0.0000 0.0000 0.5000 C
0.3333 0.6667 0.1667 C
0.6667 0.3333 0.8333 C
```

Calculated values
The value obtained for the formation energy is 4.89 kcal/mol of atoms. The total magnetization is 0.000 μB/f.u. Its symmetry is No. 166. Its calculated volume is 158.7 Å³ per cell.

=====

Record 4
DFT (PBE) results for a geometry-optimized Np2Bi5 structure.

POSCAR file:
```
Np2Bi5
1.0
2.3157 -20.5865 0.0000
2.3157 20.5865 0.0000
0.0000 0.0000 4.5165
Np Bi
4 10
direct
0.0996 0.9004 0.7500 Np
0.3122 0.6878 0.7500 Np
0.6878 0.3122 0.2500 Np
0.9004 0.0996 0.2500 Np
0.0376 0.9624 0.2500 Bi
0.1760 0.8240 0.7500 Bi
0.2499 0.7501 0.2500 Bi
0.3908 0.6092 0.7500 Bi
0.4611 0.5389 0.2500 Bi
0.5389 0.4611 0.7500 Bi
0.6092 0.3908 0.2500 Bi
0.7501 0.2499 0.7500 Bi
0.8240 0.1760 0.2500 Bi
0.9624 0.0376 0.7500 Bi
```

Calculated values
The value obtained for the formation energy is 1.41 kcal/mol of atoms. The total magnetization is 0.156 μB/f.u. Its symmetry is No. 63. Its calculated volume is 430.6 Å³ per cell.

=====

Record 5
DFT (PBE) results for a geometry-optimized Ba7Sn2Hg2 structure.

POSCAR file:
```
Ba7Sn2Hg2
1.0
5.3080 -6.1916 0.0000
5.3080 6.1916 0.0000
0.0000 0.0000 8.4150
Ba Sn Hg
7 2 2
direct
0.0000 0.0000 0.0000 Ba
0.0000 0.5000 0.2674 Ba
0.0000 0.5000 0.7326 Ba
0.5000 0.0000 0.2674 Ba
0.5000 0.0000 0.7326 Ba
0.5000 0.5000 0.2515 Ba
0.5000 0.5000 0.7485 Ba
0.2300 0.2300 0.5000 Sn
0.7700 0.7700 0.5000 Sn
0.2772 0.7228 0.0000 Hg
0.7228 0.2772 0.0000 Hg
```

Calculated values
The value obtained for the formation energy is -6.46 kcal/mol of atoms. The total magnetization is 0.000 μB/f.u. Its symmetry is No. 65. Its calculated volume is 553.1 Å³ per cell.

=====

Record 6
DFT (PBE) results for a geometry-optimized VPW structure.

POSCAR file:
```
VPW
1.0
5.9397 0.0000 0.0000
0.0000 3.7055 0.0000
0.0000 0.0000 7.3263
V P W
4 4 4
direct
0.1361 0.2500 0.0454 V
0.3639 0.7500 0.5454 V
0.6361 0.2500 0.4546 V
0.8639 0.7500 0.9546 V
0.2491 0.2500 0.3587 P
0.2509 0.7500 0.8587 P
0.7491 0.2500 0.1413 P
0.7509 0.7500 0.6413 P
0.0329 0.2500 0.6739 W
0.4671 0.7500 0.1739 W
0.5329 0.2500 0.8261 W
0.9671 0.7500 0.3261 W
```

Calculated values
The value obtained for the formation energy is -9.15 kcal/mol of atoms. The total magnetization is 0.000 μB/f.u. Its symmetry is No. 62. Its calculated volume is 161.2 Å³ per cell.

=====

Record 7
DFT (PBE) results for a geometry-optimized PaBi2 structure.

POSCAR file:
```
PaBi2
1.0
4.0905 0.0000 0.0000
0.0000 4.0905 0.0000
0.0000 0.0000 10.3999
Pa Bi
2 4
direct
0.0000 0.0000 0.0000 Pa
0.5000 0.5000 0.5000 Pa
0.0000 0.0000 0.3429 Bi
0.0000 0.0000 0.6571 Bi
0.5000 0.5000 0.1571 Bi
0.5000 0.5000 0.8429 Bi
```

Calculated values
The value obtained for the formation energy is -2.75 kcal/mol of atoms. The total magnetization is 0.012 μB/f.u. Its symmetry is No. 139. Its calculated volume is 174.0 Å³ per cell.

=====

Record 8
DFT (PBE) results for a geometry-optimized Mo3Ru structure.

POSCAR file:
```
Mo3Ru
1.0
2.7718 0.0000 0.0000
-1.3859 2.4004 0.0000
0.0000 0.0000 28.0183
Mo Ru
9 3
direct
0.0000 0.0000 0.0000 Mo
0.0000 0.0000 0.2457 Mo
0.0000 0.0000 0.7543 Mo
0.3333 0.6667 0.4210 Mo
0.3333 0.6667 0.6667 Mo
0.3333 0.6667 0.9124 Mo
0.6667 0.3333 0.0876 Mo
0.6667 0.3333 0.3333 Mo
0.6667 0.3333 0.5790 Mo
0.0000 0.0000 0.5000 Ru
0.3333 0.6667 0.1667 Ru
0.6667 0.3333 0.8333 Ru
```

Calculated values
The value obtained for the formation energy is 5.50 kcal/mol of atoms. The total magnetization is 0.000 μB/f.u. Its symmetry is No. 166. Its calculated volume is 186.4 Å³ per cell.

=====

Record 9
DFT (PBE) results for a geometry-optimized CsTaRu2 structure.

POSCAR file:
```
CsTaRu2
1.0
6.7452 0.0000 0.0000
0.0000 6.7452 0.0000
0.0000 0.0000 6.7452
Cs Ta Ru
4 4 8
direct
0.0000 0.0000 0.0000 Cs
0.0000 0.5000 0.5000 Cs
0.5000 0.0000 0.5000 Cs
0.5000 0.5000 0.0000 Cs
0.0000 0.0000 0.5000 Ta
0.0000 0.5000 0.0000 Ta
0.5000 0.0000 0.0000 Ta
0.5000 0.5000 0.5000 Ta
0.2500 0.2500 0.2500 Ru
0.2500 0.2500 0.7500 Ru
0.2500 0.7500 0.2500 Ru
0.2500 0.7500 0.7500 Ru
0.7500 0.2500 0.2500 Ru
0.7500 0.2500 0.7500 Ru
0.7500 0.7500 0.2500 Ru
0.7500 0.7500 0.7500 Ru
```

Calculated values
The value obtained for the formation energy is 32.63 kcal/mol of atoms. The total magnetization is 0.001 μB/f.u. Its symmetry is No. 225. Its calculated volume is 306.9 Å³ per cell.